Compound: Mn3Ag2O8
Source: Alexandria via LeMat-Bulk
Functional: PBE with a Hubbard U
Structure: relaxed

Output
For the spin magnetization, the calculation gives 6.96 μB per formula unit. The uncorrected energy comes out at -6.128 eV per atom.

a = 11.0127 Å, b = 5.9018 Å, c = 5.0504 Å
α = 90.00°, β = 108.99°, γ = 90.00°
Closest atoms and distances in Å follow each position.
Space group C2/m (No. 12)
Symmetry-distinct sites (fractional):
Mn: 0.0000 0.0000 0.0000 x2  6 O 1.94-1.95
Mn: 0.0000 0.2569 0.5000 x4  6 O 1.89-2.00
Ag: 0.2181 0.5000 0.1676 x4  5 O 2.19-2.44
O: 0.0953 0.0000 0.4008 x4  3 Mn 1.95-2.00
O: 0.1023 0.5000 0.4482 x4  2 Mn 1.89
O: 0.1044 0.2206 0.8878 x8  2 Mn 1.93-1.94